The following is a DFT calculation (GGA-PBE) of a geometry-optimized SiBrCl2 structure.

abc: 10.406 10.406 10.406
angles: 20.01 20.01 20.01
Fractional positions:
Si 0.000 0.000 0.000
Br 0.500 0.500 0.500
Cl 0.283 0.283 0.283
Cl 0.717 0.717 0.717

Properties
Total energy   -0.1039 Ha/atom
Polymorph energy (0 for the lowest one)   471 meV per atom
Symmetry   R-3m (166)
Size of the total moment   0.5 μB per formula unit

The following is a DFT calculation (GGA-PBE) of a geometry-optimized NaPt2 structure.

abc: 4.585 4.585 2.815
angles: 90.00 90.00 120.00
Fractional positions:
Na 0.000 0.000 0.000
Pt 0.333 0.667 0.500
Pt 0.667 0.333 0.500

Properties
ΔH_f (0 K)   -19 kJ/mol of formula units
Total energy   -0.1666 Ha/atom
Polymorph energy (0 for the lowest one)   320 meV per atom
Symmetry   P6/mmm (191)
Size of the total moment   0.0 μB per formula unit